Version i
The following is a GGA-PBE calculation of a relaxed structure of GeMoAsSe2, from the Alexandria database.

Lattice parameters (Å, degrees): 4.9342 4.9342 4.8784 90.00 90.00 90.00
With the nearest neighbours (Å) after each atom.
Space group P4/mmm (No. 123)
Unique sites:
Ge  0.0000  0.0000  0.0000 x1  2 As 2.44, 4 Se 2.47
Mo  0.5000  0.5000  0.5000 x1  8 Se 3.47, 4 As 3.49
As  0.0000  0.0000  0.5000 x1  2 Ge 2.44
Se  0.0000  0.5000  0.0000 x2  2 Ge 2.47

Calculated values
Total magnetization ... 2.80 μB per formula unit


Version ii
The following is a GGA-PBE calculation of a relaxed structure of GeMoAsSe2, from the Alexandria database.

Lattice parameters (Å, degrees): 4.9803 4.9803 4.8478 90.00 90.00 90.00
With the nearest neighbours (Å) after each atom.
Space group P4/mmm (No. 123)
Unique sites:
Ge  0.0000  0.0000  0.0000 x1  8 Se 3.48, 4 As 3.52
Mo  0.5000  0.5000  0.5000 x1  2 As 2.42, 4 Se 2.49
As  0.5000  0.5000  0.0000 x1  2 Mo 2.42
Se  0.0000  0.5000  0.5000 x2  2 Mo 2.49

Calculated values
Total magnetization ... 0.41 μB per formula unit


Pick version ii: it beats the second-best structure by 552 meV/atom.